SrVO3 | GGA+U | optimized geometry

a = 18.5839 Å, b = 4.9994 Å, c = 6.9111 Å
α = 90.00°, β = 150.04°, γ = 90.00°
Sites, in units of the cell vectors:
Sr 0.1424 0.2433 0.7154
Sr 0.8576 0.7567 0.2846
Sr 0.3576 0.7433 0.7846
Sr 0.6424 0.2567 0.2154
O 0.3490 0.9382 0.1026
O 0.6510 0.0618 0.8974
O 0.1510 0.4382 0.3975
O 0.8490 0.5618 0.6026
O 0.3937 0.4210 0.3525
O 0.6063 0.5790 0.6475
O 0.1063 0.9210 0.1475
O 0.8937 0.0790 0.8525
O 0.5191 0.7846 0.8803
O 0.4809 0.2154 0.1197
O 0.9809 0.2846 0.6197
O 0.0191 0.7154 0.3803
V 0.5068 0.7762 0.5937
V 0.4932 0.2238 0.4063
V 0.9932 0.2762 0.9063
V 0.0068 0.7238 0.0937

Symmetry: P2_1/c (14)
VASP energy, eV per atom: -7.156
Total magnetization, μB/f.u.: 0.0